! GGA-PBE CeErZrSn, optimized geometry; values from VASP
! Space-group type: F-43m
! Formation energy from the elements in eV per atom: -0.171
&SYSTEM
  ibrav = 0, nat = 4, ntyp = 4
/
ATOMIC_SPECIES
Ce 140.12 Ce.upf
Er 167.26 Er.upf
Zr 91.22 Zr.upf
Sn 118.71 Sn.upf
CELL_PARAMETERS angstrom
0.0000 3.6811 3.6811
3.6811 0.0000 3.6811
3.6811 3.6811 0.0000
ATOMIC_POSITIONS angstrom
Ce 0.0000 0.0000 0.0000
Er 5.5216 5.5216 5.5216
Zr 1.8405 1.8405 1.8405
Sn 3.6811 3.6811 3.6811